Version i
# LiCa4Al (PBE, relaxed)
data_LiCa4Al
_space_group_name_H-M_alt 'P 1'
_space_group_IT_number 1
_space_group_name_Hall 'P 1'
_cell_length_a 5.4542
_cell_length_b 5.4532
_cell_length_c 9.2877
_cell_angle_alpha 72.94
_cell_angle_beta 72.93
_cell_angle_gamma 59.99
loop_
_atom_site_label
_atom_site_type_symbol
_atom_site_fract_x
_atom_site_fract_y
_atom_site_fract_z
Li1 Li 0.5000 0.5000 0.5000
Ca1 Ca 0.6342 0.6341 0.0975
Ca2 Ca 0.3658 0.3659 0.9025
Ca3 Ca 0.1178 0.1181 0.6463
Ca4 Ca 0.8822 0.8819 0.3537
Al1 Al 0.0000 0.0000 0.0000
# DOS(E_F) = 0.919 states/eV/atom
# volume = 37.5 Å³/atom
# SG = R-3m, No. 166

***

Version ii
# LiCa4Al (PBE, relaxed)
data_LiCa4Al
_space_group_name_H-M_alt 'P 1'
_space_group_IT_number 1
_space_group_name_Hall 'P 1'
_cell_length_a 3.8654
_cell_length_b 3.8654
_cell_length_c 13.1451
_cell_angle_alpha 90.00
_cell_angle_beta 90.00
_cell_angle_gamma 90.00
loop_
_atom_site_label
_atom_site_type_symbol
_atom_site_fract_x
_atom_site_fract_y
_atom_site_fract_z
Li1 Li 0.0000 0.0000 0.0000
Ca1 Ca 0.5000 0.5000 0.8474
Ca2 Ca 0.5000 0.5000 0.1526
Ca3 Ca 0.0000 0.0000 0.6337
Ca4 Ca 0.0000 0.0000 0.3663
Al1 Al 0.5000 0.5000 0.5000
# DOS(E_F) = 0.928 states/eV/atom
# volume = 32.7 Å³/atom
# SG = P4/mmm, No. 123

***

Version iii
# LiCa4Al (PBE, relaxed)
data_LiCa4Al
_space_group_name_H-M_alt 'P 1'
_space_group_IT_number 1
_space_group_name_Hall 'P 1'
_cell_length_a 6.7973
_cell_length_b 6.7973
_cell_length_c 6.7973
_cell_angle_alpha 60.00
_cell_angle_beta 60.00
_cell_angle_gamma 60.00
loop_
_atom_site_label
_atom_site_type_symbol
_atom_site_fract_x
_atom_site_fract_y
_atom_site_fract_z
Li1 Li 0.7500 0.7500 0.7500
Ca1 Ca 0.8772 0.3743 0.3743
Ca2 Ca 0.3743 0.3743 0.8772
Ca3 Ca 0.3743 0.8772 0.3743
Ca4 Ca 0.3743 0.3743 0.3743
Al1 Al 0.0000 0.0000 0.0000
# DOS(E_F) = 1.166 states/eV/atom
# volume = 37.0 Å³/atom
# SG = F-43m, No. 216

***

Stability, descending: version ii, version i, version iii